Below is CsLuP2O7 after structural relaxation, with properties calculated at the PBE level.

```
CsLuP2O7
1.0
8.0022 0.0000 0.0000
0.0000 10.8143 0.0000
-2.2594 0.0000 8.5147
Cs Lu P O
4 4 8 28
Cartesian
1.4609 2.0783 0.4559
0.3312 3.3288 4.7132
5.4116 7.4855 3.8015
4.2819 8.7360 8.0588
1.3375 6.4947 2.1651
0.2078 9.7268 6.4224
5.5350 1.0875 2.0923
4.4053 4.3196 6.3496
-0.8362 6.4520 7.0233
0.2935 9.7695 2.7660
1.8329 6.7757 5.8142
2.9626 9.4458 1.5568
2.7802 1.3686 6.9579
3.9099 4.0386 2.7005
5.4493 1.0448 5.7487
6.5790 4.3623 1.4913
-1.6796 0.0503 6.5265
-0.5499 5.3568 2.2692
-1.0311 7.8810 6.4906
0.0985 8.3406 2.2332
1.2454 6.3507 0.0114
0.1157 9.8708 4.2687
0.7040 6.0048 6.7179
1.8336 10.2167 2.4605
1.4487 6.5301 4.3585
2.5784 9.6914 0.1012
1.4646 0.7003 6.5574
2.5943 4.7069 2.3000
2.9565 7.9696 1.9635
1.8269 8.2519 6.2209
3.9160 2.5625 2.2938
2.7863 2.8447 6.5512
3.1485 6.1075 6.2146
4.2782 10.1140 1.9573
3.1644 1.1230 8.4135
4.2941 4.2842 4.1561
3.9092 0.5976 6.0542
5.0389 4.8095 1.7968
5.6271 0.9435 4.2460
4.4974 4.4637 8.5033
5.6443 2.4738 6.2814
6.7739 2.9334 2.0241
6.2927 5.4575 6.2455
7.4224 10.7640 1.9882
```

SG: P2_1/c, No. 14
Crystal system: monoclinic
Raw formation energy, meV per atom: -2731

Below is CsLuPb2 after structural relaxation, with properties calculated at the PBE level.

```
CsLuPb2
1.0
4.0847 0.0000 0.0000
0.0000 4.0847 0.0000
0.0000 0.0000 8.7042
Cs Lu Pb
1 1 2
Cartesian
0.0000 0.0000 0.0000
0.0000 0.0000 4.3521
2.0423 2.0423 2.7822
2.0423 2.0423 5.9220
```

SG: P4/mmm, No. 123
ΔE_f, meV per atom: -265
Crystal system: tetragonal
Relative energy among the computed polymorphs, eV per atom: 0.000

Below is CsLuPb2 after structural relaxation, with properties calculated at the PBE level.

```
CsLuPb2
1.0
1.9049 1.0998 11.2453
-1.9049 1.0998 11.2453
0.0000 -2.1996 11.2453
Cs Lu Pb
1 1 2
Cartesian
0.0000 0.0000 0.0000
0.0000 0.0000 16.8680
0.0000 0.0000 8.0412
0.0000 0.0000 25.6948
```

SG: R-3m, No. 166
ΔE_f, meV per atom: -120
Crystal system: trigonal
Relative energy among the computed polymorphs, eV per atom: 0.145